## CeNd3Tl3 (GGA-PBE)

Data for a relaxed CeNd3Tl3 crystal.

Values from the calculation:
DOS(E_F) = 14.27 states/eV/f.u.
Formation energy = -0.191 eV per atom
Size of the total moment = 2.736 μB per cell
Crystal system = hexagonal
Electronic total energy = -4.096 eV per atom

Cell and atoms, written as extended XYZ:
```
14
Lattice="9.701 0.000 0.000 -4.851 8.402 0.000 0.000 0.000 5.379" Properties=species:S:1:pos:R:3 pbc="T T T"
Ce 0.000 5.601 1.345
Ce 4.851 2.801 4.034
Nd -1.144 2.017 1.345
Nd -2.532 8.384 1.345
Nd 1.175 1.999 4.034
Nd 3.676 6.402 1.345
Nd 7.383 0.018 4.034
Nd 5.995 6.385 4.034
Tl -1.484 3.811 4.034
Tl -0.808 7.781 4.034
Tl 2.558 3.191 1.345
Tl 2.292 5.211 4.034
Tl 5.659 0.620 1.345
Tl 6.335 4.591 1.345
```